Entry 1:
## NdInHgPd (GGA-PBE)

Data for a geometry-optimized NdInHgPd structure.

The structure in POSCAR format:
```
NdInHgPd
1.0
5.051 0.000 0.000
2.525 4.374 0.000
2.525 1.458 4.124
Pd Hg Nd In
1 1 1 1
Direct
0.000 0.000 0.000
0.500 0.500 0.500
0.750 0.750 0.750
0.250 0.250 0.250
```

Summary:
Magnetization ... 0.00 μB/f.u.
Volume ... 22.78 A^3/atom
Calculated formation energy ... -0.554 eV/atom

Entry 2:
## Tb6Sm5Er2 (GGA-PBE)

Data for a geometry-optimized Tb6Sm5Er2 structure.

The structure in POSCAR format:
```
Tb6Sm5Er2
1.0
3.589 0.000 0.000
0.000 11.649 0.000
0.000 0.000 20.492
Er Tb Sm
4 12 10
Direct
0.000 0.830 0.210
0.000 0.170 0.790
0.000 0.330 0.290
0.000 0.670 0.710
0.500 0.174 0.638
0.500 0.674 0.862
0.000 0.418 0.869
0.000 0.082 0.369
0.000 0.939 0.919
0.000 0.561 0.419
0.000 0.061 0.081
0.500 0.826 0.362
0.000 0.582 0.131
0.500 0.326 0.138
0.000 0.918 0.631
0.000 0.439 0.581
0.500 0.914 0.773
0.500 0.698 0.551
0.500 0.414 0.727
0.500 0.086 0.227
0.500 0.000 0.500
0.500 0.198 0.949
0.500 0.500 0.000
0.500 0.586 0.273
0.500 0.802 0.051
0.500 0.302 0.449
```

Summary:
Magnetization ... 0.00 μB/f.u.
Volume ... 32.95 A^3/atom
Calculated formation energy ... 0.095 eV/atom

Entry 3:
## Ce2TiSn (GGA-PBE)

Data for a geometry-optimized Ce2TiSn structure.

The structure in POSCAR format:
```
Ce2TiSn
1.0
-2.604 1.682 0.477
-1.638 -0.364 2.650
4.683 8.493 5.918
Ce Ti Sn
2 1 1
Direct
0.918 0.918 0.246
0.082 0.082 0.754
0.000 0.000 0.000
0.500 0.500 0.500
```

Summary:
Magnetization ... 1.18 μB/f.u.
Volume ... 23.89 A^3/atom
Calculated formation energy ... 0.083 eV/atom
Polymorph energy (0 for the lowest one) ... 378 meV/atom

Entry 4:
## BaPrAgCl6 (GGA-PBE)

Data for a geometry-optimized BaPrAgCl6 structure.

The structure in POSCAR format:
```
BaPrAgCl6
1.0
7.101 0.000 0.000
-3.551 6.150 0.000
0.000 0.000 13.705
Cl Ag Ba Pr
12 2 2 2
Direct
0.647 0.644 0.634
0.644 0.997 0.366
0.353 0.997 0.134
0.647 0.003 0.866
0.644 0.647 0.134
0.003 0.356 0.134
0.003 0.647 0.366
0.997 0.353 0.634
0.997 0.644 0.866
0.356 0.003 0.634
0.356 0.353 0.866
0.353 0.356 0.366
0.333 0.667 0.750
0.667 0.333 0.250
0.000 0.000 0.000
0.000 0.000 0.500
0.333 0.667 0.250
0.667 0.333 0.750
```

Summary:
Magnetization ... 0.00 μB/f.u.
Volume ... 33.25 A^3/atom
Energy relative to the elements, uncorrected ... -1.93 eV/atom

Entry 5:
## KLiSb4 (GGA-PBE)

Data for a geometry-optimized KLiSb4 structure.

The structure in POSCAR format:
```
KLiSb4
1.0
-3.246 -4.776 2.759
0.303 -0.833 6.338
-5.102 1.284 3.644
Sb K Li
4 1 1
Direct
0.374 0.374 0.878
0.878 0.374 0.374
0.374 0.374 0.374
0.374 0.878 0.374
0.750 0.750 0.750
0.000 0.000 0.000
```

Summary:
Magnetization ... 0.00 μB/f.u.
Volume ... 30.90 A^3/atom
Energy relative to the elements, uncorrected ... -0.18 eV/atom

Entry 6:
## GdTh2Bi (GGA-PBE)

Data for a geometry-optimized GdTh2Bi structure.

The structure in POSCAR format:
```
GdTh2Bi
1.0
5.304 0.000 0.000
0.000 4.778 0.000
0.000 0.000 4.778
Gd Th Bi
1 2 1
Direct
0.500 0.500 0.500
0.000 0.500 0.000
0.000 0.000 0.500
0.500 0.000 0.000
```

Summary:
Magnetization ... 7.14 μB/f.u.
Volume ... 30.27 A^3/atom
Calculated formation energy ... -0.302 eV/atom
Polymorph energy (0 for the lowest one) ... 0 meV/atom

> Look up the magnetization of the fourth one.

0.00 μB/f.u.

> Among the records above, which one has the lowest volume?

NdInHgPd

> Look up the magnetization of the first one.

0.00 μB/f.u.